A relaxed Li2VCrO4 crystal, computed with PBE with a Hubbard U.

```
Li2VCrO4
1.0
5.170 0.000 0.000
-1.746 5.736 0.000
-0.887 -1.819 7.611
Li V Cr O
6 3 3 12
Cartesian
-0.439 -0.142 2.550
-1.317 1.178 5.071
3.854 2.740 2.540
2.976 4.059 5.061
-1.318 -0.345 7.590
3.855 4.263 0.021
2.141 -0.909 3.805
2.148 0.643 1.264
0.389 3.275 6.347
1.253 0.410 6.338
1.268 1.959 3.805
1.284 3.507 1.273
0.498 0.196 4.466
0.504 -1.382 6.981
-0.340 4.566 1.920
-0.354 1.465 7.006
-0.347 3.034 4.447
0.531 1.731 1.923
2.006 2.187 5.688
2.883 0.884 3.164
2.891 2.453 0.605
2.877 -0.648 5.691
2.033 5.299 0.629
2.039 3.722 3.145
```

Computed properties:
* DOS at the Fermi energy: 0.00 states/eV/cell
* electronic total energy: -6.910 eV per atom